Record 1
! ScNb2TlC, optimized geometry, DFT PBE-GGA; values from VASP
! Fermi-level density of states = 2.800 states/eV/cell
! Space group = P4/mmm (123)
! Total magnetization = 0.000 μB/f.u.
&SYSTEM
  ibrav = 0, nat = 5, ntyp = 4
/
ATOMIC_SPECIES
Sc 44.96 Sc.upf
Nb 92.91 Nb.upf
Tl 204.38 Tl.upf
C 12.01 C.upf
CELL_PARAMETERS angstrom
4.3520 0.0000 0.0000
0.0000 4.3520 0.0000
0.0000 0.0000 4.5837
ATOMIC_POSITIONS crystal
Sc 0.0000 0.0000 0.0000
Nb 0.0000 0.5000 0.5000
Nb 0.5000 0.0000 0.5000
Tl 0.5000 0.5000 0.0000
C 0.0000 0.0000 0.5000

Record 2
! CrNiBi2, optimized geometry, DFT PBE-GGA; values from VASP
! Fermi-level density of states = 8.881 states/eV/cell
! Energy above the most stable polymorph in this dataset = 0.000 eV/atom
! Space group = Fm-3m (225)
! Total magnetization = 4.486 μB/f.u.
&SYSTEM
  ibrav = 0, nat = 16, ntyp = 3
/
ATOMIC_SPECIES
Cr 52.00 Cr.upf
Ni 58.69 Ni.upf
Bi 208.98 Bi.upf
CELL_PARAMETERS angstrom
6.9854 0.0000 0.0000
0.0000 6.9854 0.0000
0.0000 0.0000 6.9854
ATOMIC_POSITIONS crystal
Cr 0.0000 0.0000 0.0000
Cr 0.0000 0.5000 0.5000
Cr 0.5000 0.0000 0.5000
Cr 0.5000 0.5000 0.0000
Ni 0.0000 0.0000 0.5000
Ni 0.0000 0.5000 0.0000
Ni 0.5000 0.0000 0.0000
Ni 0.5000 0.5000 0.5000
Bi 0.2500 0.2500 0.2500
Bi 0.2500 0.2500 0.7500
Bi 0.2500 0.7500 0.2500
Bi 0.2500 0.7500 0.7500
Bi 0.7500 0.2500 0.2500
Bi 0.7500 0.2500 0.7500
Bi 0.7500 0.7500 0.2500
Bi 0.7500 0.7500 0.7500

Record 3
! LiZrTe2, optimized geometry, DFT PBE-GGA; values from VASP
! Fermi-level density of states = 6.975 states/eV/cell
! Space group = R3m (160)
! Total magnetization = 0.000 μB/f.u.
&SYSTEM
  ibrav = 0, nat = 12, ntyp = 3
/
ATOMIC_SPECIES
Li 6.94 Li.upf
Zr 91.22 Zr.upf
Te 127.60 Te.upf
CELL_PARAMETERS angstrom
3.9884 0.0000 0.0000
-1.9942 3.4540 0.0000
0.0000 0.0000 22.7530
ATOMIC_POSITIONS crystal
Li 0.0000 0.0000 0.0000
Li 0.3333 0.6667 0.6667
Li 0.6667 0.3333 0.3333
Zr 0.0000 0.0000 0.1622
Zr 0.3333 0.6667 0.8289
Zr 0.6667 0.3333 0.4955
Te 0.0000 0.0000 0.5762
Te 0.0000 0.0000 0.7484
Te 0.3333 0.6667 0.2429
Te 0.3333 0.6667 0.4151
Te 0.6667 0.3333 0.0818
Te 0.6667 0.3333 0.9096

Record 4
! Ta2SiCl, optimized geometry, DFT PBE-GGA; values from VASP
! Fermi-level density of states = 11.375 states/eV/cell
! Energy above the most stable polymorph in this dataset = 0.680 eV/atom
! Space group = I-42d (122)
! Total magnetization = 0.000 μB/f.u.
&SYSTEM
  ibrav = 0, nat = 16, ntyp = 3
/
ATOMIC_SPECIES
Ta 180.95 Ta.upf
Si 28.09 Si.upf
Cl 35.45 Cl.upf
CELL_PARAMETERS angstrom
6.7284 0.0000 0.0000
0.0000 6.7284 0.0000
0.0000 0.0000 6.2912
ATOMIC_POSITIONS crystal
Ta 0.2237 0.2500 0.1250
Ta 0.2500 0.7237 0.3750
Ta 0.2500 0.7763 0.8750
Ta 0.2763 0.2500 0.6250
Ta 0.7237 0.7500 0.6250
Ta 0.7500 0.2237 0.8750
Ta 0.7500 0.2763 0.3750
Ta 0.7763 0.7500 0.1250
Si 0.0000 0.0000 0.5000
Si 0.0000 0.5000 0.7500
Si 0.5000 0.0000 0.2500
Si 0.5000 0.5000 0.0000
Cl 0.0000 0.0000 0.0000
Cl 0.0000 0.5000 0.2500
Cl 0.5000 0.0000 0.7500
Cl 0.5000 0.5000 0.5000

Record 5
! Pr2SnH, optimized geometry, DFT PBE-GGA; values from VASP
! Fermi-level density of states = 3.273 states/eV/cell
! Energy above the most stable polymorph in this dataset = 0.344 eV/atom
! Space group = P4/mmm (123)
! Total magnetization = 0.000 μB/f.u.
&SYSTEM
  ibrav = 0, nat = 4, ntyp = 3
/
ATOMIC_SPECIES
Pr 140.91 Pr.upf
Sn 118.71 Sn.upf
H 1.01 H.upf
CELL_PARAMETERS angstrom
3.4791 0.0000 0.0000
0.0000 3.4791 0.0000
0.0000 0.0000 7.8369
ATOMIC_POSITIONS crystal
Pr 0.0000 0.0000 0.2191
Pr 0.0000 0.0000 0.7809
Sn 0.5000 0.5000 0.5000
H 0.5000 0.5000 0.0000

Record 6
! CsNaGa4, optimized geometry, DFT PBE-GGA; values from VASP
! Fermi-level density of states = 7.142 states/eV/cell
! Space group = Cm (8)
! Total magnetization = 0.000 μB/f.u.
&SYSTEM
  ibrav = 0, nat = 12, ntyp = 3
/
ATOMIC_SPECIES
Cs 132.91 Cs.upf
Na 22.99 Na.upf
Ga 69.72 Ga.upf
CELL_PARAMETERS angstrom
11.7642 0.0000 0.0000
0.0000 6.2326 0.0000
-2.3304 0.0000 4.7238
ATOMIC_POSITIONS crystal
Cs 0.0000 0.0000 0.0000
Cs 0.5000 0.5000 0.0000
Na 0.2406 0.0000 0.7422
Na 0.7406 0.5000 0.7422
Ga 0.0822 0.5000 0.5794
Ga 0.1912 0.5000 0.1906
Ga 0.3607 0.2027 0.3619
Ga 0.3607 0.7973 0.3619
Ga 0.5822 0.0000 0.5794
Ga 0.6912 0.0000 0.1906
Ga 0.8607 0.2973 0.3619
Ga 0.8607 0.7027 0.3619

Record 7
! Pt4AuCl, optimized geometry, DFT PBE-GGA; values from VASP
! Fermi-level density of states = 9.296 states/eV/cell
! Space group = F-43m (216)
! Total magnetization = 0.000 μB/f.u.
&SYSTEM
  ibrav = 0, nat = 6, ntyp = 3
/
ATOMIC_SPECIES
Pt 195.08 Pt.upf
Au 196.97 Au.upf
Cl 35.45 Cl.upf
CELL_PARAMETERS angstrom
0.0000 3.7809 3.7809
3.7809 0.0000 3.7809
3.7809 3.7809 0.0000
ATOMIC_POSITIONS crystal
Pt 0.1247 0.1247 0.1247
Pt 0.1247 0.1247 0.6259
Pt 0.1247 0.6259 0.1247
Pt 0.6259 0.1247 0.1247
Au 0.7500 0.7500 0.7500
Cl 0.5000 0.5000 0.5000

Record 8
! Mo2RuCl, optimized geometry, DFT PBE-GGA; values from VASP
! Fermi-level density of states = 3.612 states/eV/cell
! Energy above the most stable polymorph in this dataset = 0.082 eV/atom
! Space group = P4/mmm (123)
! Total magnetization = 0.000 μB/f.u.
&SYSTEM
  ibrav = 0, nat = 4, ntyp = 3
/
ATOMIC_SPECIES
Mo 95.94 Mo.upf
Ru 101.07 Ru.upf
Cl 35.45 Cl.upf
CELL_PARAMETERS angstrom
2.9085 0.0000 0.0000
0.0000 2.9085 0.0000
0.0000 0.0000 6.9466
ATOMIC_POSITIONS crystal
Mo 0.0000 0.0000 0.2437
Mo 0.0000 0.0000 0.7563
Ru 0.5000 0.5000 0.5000
Cl 0.5000 0.5000 0.0000

Record 9
! Hg8Rh, optimized geometry, DFT PBE-GGA; values from VASP
! Fermi-level density of states = 4.765 states/eV/cell
! Space group = I4/mmm (139)
! Total magnetization = 0.000 μB/f.u.
&SYSTEM
  ibrav = 0, nat = 9, ntyp = 2
/
ATOMIC_SPECIES
Hg 200.59 Hg.upf
Rh 102.91 Rh.upf
CELL_PARAMETERS angstrom
-6.0504 6.0504 1.5228
6.0504 -6.0504 1.5228
6.0504 6.0504 -1.5228
ATOMIC_POSITIONS crystal
Hg 0.0000 0.3340 0.3340
Hg 0.0000 0.6660 0.6660
Hg 0.3340 0.0000 0.3340
Hg 0.3584 0.3584 0.7168
Hg 0.3584 0.6416 0.0000
Hg 0.6416 0.3584 0.0000
Hg 0.6416 0.6416 0.2832
Hg 0.6660 0.0000 0.6660
Rh 0.0000 0.0000 0.0000

Record 10
! RbPuAgCl6, optimized geometry, DFT PBE-GGA; values from VASP
! Fermi-level density of states = 6.973 states/eV/cell
! Space group = P-31c (163)
! Total magnetization = 4.000 μB/f.u.
&SYSTEM
  ibrav = 0, nat = 18, ntyp = 4
/
ATOMIC_SPECIES
Rb 85.47 Rb.upf
Pu 244.00 Pu.upf
Ag 107.87 Ag.upf
Cl 35.45 Cl.upf
CELL_PARAMETERS angstrom
6.9774 0.0000 0.0000
-3.4887 6.0426 0.0000
0.0000 0.0000 14.7484
ATOMIC_POSITIONS crystal
Rb 0.0000 0.0000 0.0000
Rb 0.0000 0.0000 0.5000
Pu 0.3333 0.6667 0.2500
Pu 0.6667 0.3333 0.7500
Ag 0.3333 0.6667 0.7500
Ag 0.6667 0.3333 0.2500
Cl 0.0195 0.3732 0.1463
Cl 0.0195 0.6463 0.3537
Cl 0.3537 0.3732 0.3537
Cl 0.3537 0.9805 0.1463
Cl 0.3732 0.0195 0.6463
Cl 0.3732 0.3537 0.8537
Cl 0.6268 0.6463 0.1463
Cl 0.6268 0.9805 0.3537
Cl 0.6463 0.0195 0.8537
Cl 0.6463 0.6268 0.6463
Cl 0.9805 0.3537 0.6463
Cl 0.9805 0.6268 0.8537

| no. | calculated total energy (eV/atom) |
| --- | --- |
| 1 | -7.83 |
| 2 | -5.38 |
| 3 | -5.08 |
| 4 | -7.16 |
| 5 | -4.50 |
| 6 | -2.34 |
| 7 | -4.37 |
| 8 | -7.90 |
| 9 | -0.92 |
| 10 | -4.75 |